Entry 1:
Computed, not measured: Pa2GaMoN5 after structural relaxation at the PBE level of DFT.

- total DFT energy (no corrections) (eV/atom) = -9.245
- space-group type = Cmc2_1 (36)

abc: 7.2368 7.2368 9.6073
angles: 90.00 90.00 153.18
Last column: nearest neighbours and their distance in Å.
Fractional coordinates of all 18 atoms:
Pa (0.1286, 0.8714, 0.5000)  5 N 2.35-2.39
Pa (0.1328, 0.8672, 0.0162)  6 N 2.34-2.42
Pa (0.8672, 0.1328, 0.5162)  6 N 2.34-2.42
Pa (0.8714, 0.1286, 0.0000)  5 N 2.35-2.39
Ga (0.4896, 0.5104, 0.2481)  4 N 1.96-2.02
Ga (0.5104, 0.4896, 0.7481)  4 N 1.96-2.02
Mo (0.2393, 0.7607, 0.7634)  6 N 2.07-2.26
Mo (0.7607, 0.2393, 0.2634)  6 N 2.07-2.26
N (0.0789, 0.9211, 0.7766)  2 Ga 1.96
N (0.2821, 0.7179, 0.4014)  2 Mo 2.16, 3 Pa 2.34-2.36
N (0.2885, 0.7115, 0.1208)  2 Mo 2.20, 3 Pa 2.35-2.41
N (0.3804, 0.6196, 0.8228)  1 Ga 1.97, 1 Mo 2.07
N (0.4826, 0.5174, 0.5414)  1 Ga 2.02
N (0.5174, 0.4826, 0.0414)  1 Ga 2.02
N (0.6196, 0.3804, 0.3228)  1 Ga 1.97, 1 Mo 2.07
N (0.7115, 0.2885, 0.6208)  2 Mo 2.20, 3 Pa 2.35-2.41
N (0.7179, 0.2821, 0.9014)  2 Mo 2.16, 3 Pa 2.34-2.36
N (0.9211, 0.0789, 0.2766)  2 Ga 1.96


Entry 2:
Computed, not measured: GaMoS2N after structural relaxation at the PBE level of DFT.

- total DFT energy (no corrections) (eV/atom) = -6.047
- space-group type = P4/mmm (123)

abc: 4.8620 4.8620 3.8163
angles: 90.00 90.00 90.00
Last column: nearest neighbours and their distance in Å.
Fractional coordinates of all 5 atoms:
Ga (0.0000, 0.0000, 0.0000)  8 S 3.09, 4 N 3.44
Mo (0.5000, 0.5000, 0.5000)  2 N 1.91
S (0.0000, 0.5000, 0.5000)  2 Mo 2.43
S (0.5000, 0.0000, 0.5000)  2 Mo 2.43
N (0.5000, 0.5000, 0.0000)  2 Mo 1.91


Entry 3:
Computed, not measured: GaMoS2N after structural relaxation at the PBE level of DFT.

- total DFT energy (no corrections) (eV/atom) = -5.173
- space-group type = P4/mmm (123)

abc: 4.7910 4.7910 3.6876
angles: 90.00 90.00 90.00
Last column: nearest neighbours and their distance in Å.
Fractional coordinates of all 5 atoms:
Ga (0.0000, 0.0000, 0.0000)  2 N 1.84
Mo (0.5000, 0.5000, 0.5000)  8 S 3.02
S (0.0000, 0.5000, 0.0000)  2 Ga 2.40
S (0.5000, 0.0000, 0.0000)  2 Ga 2.40
N (0.0000, 0.0000, 0.5000)  2 Ga 1.84


Entry 4:
Computed, not measured: GaMoSe2N after structural relaxation at the PBE level of DFT.

- total DFT energy (no corrections) (eV/atom) = -5.752
- space-group type = P4/mmm (123)

abc: 5.1314 5.1314 3.8022
angles: 90.00 90.00 90.00
Last column: nearest neighbours and their distance in Å.
Fractional coordinates of all 5 atoms:
Ga (0.0000, 0.0000, 0.0000)  8 Se 3.19
Mo (0.5000, 0.5000, 0.5000)  2 N 1.90
Se (0.0000, 0.5000, 0.5000)  2 Mo 2.57
Se (0.5000, 0.0000, 0.5000)  2 Mo 2.57
N (0.5000, 0.5000, 0.0000)  2 Mo 1.90


Entry 5:
Computed, not measured: GaMoSe2N after structural relaxation at the PBE level of DFT.

- total DFT energy (no corrections) (eV/atom) = -4.880
- space-group type = P4/mmm (123)

abc: 5.1101 5.1101 3.6209
angles: 90.00 90.00 90.00
Last column: nearest neighbours and their distance in Å.
Fractional coordinates of all 5 atoms:
Ga (0.0000, 0.0000, 0.0000)  2 N 1.81
Mo (0.5000, 0.5000, 0.5000)  8 Se 3.13
Se (0.0000, 0.5000, 0.0000)  2 Ga 2.56
Se (0.5000, 0.0000, 0.0000)  2 Ga 2.56
N (0.0000, 0.0000, 0.5000)  2 Ga 1.81


Entry 6:
Computed, not measured: GaMoSeN2 after structural relaxation at the PBE level of DFT.

- total DFT energy (no corrections) (eV/atom) = -5.309
- space-group type = P4/mmm (123)

abc: 3.8078 3.8078 5.0653
angles: 90.00 90.00 90.00
Last column: nearest neighbours and their distance in Å.
Fractional coordinates of all 5 atoms:
Ga (0.0000, 0.0000, 0.0000)  4 N 1.90
Mo (0.5000, 0.5000, 0.5000)  4 Se 2.69
Se (0.0000, 0.0000, 0.5000)  2 Ga 2.53, 4 Mo 2.69
N (0.0000, 0.5000, 0.0000)  2 Ga 1.90
N (0.5000, 0.0000, 0.0000)  2 Ga 1.90


Entry 7:
Computed, not measured: GaMoSeN2 after structural relaxation at the PBE level of DFT.

- total DFT energy (no corrections) (eV/atom) = -6.481
- space-group type = P4/mmm (123)

abc: 3.9176 3.9176 5.3244
angles: 90.00 90.00 90.00
Last column: nearest neighbours and their distance in Å.
Fractional coordinates of all 5 atoms:
Ga (0.0000, 0.0000, 0.0000)  4 Se 2.77
Mo (0.5000, 0.5000, 0.5000)  4 N 1.96
Se (0.5000, 0.5000, 0.0000)  2 Mo 2.66, 4 Ga 2.77
N (0.0000, 0.5000, 0.5000)  2 Mo 1.96
N (0.5000, 0.0000, 0.5000)  2 Mo 1.96


Entry 8:
Computed, not measured: GaTcMo2N after structural relaxation at the PBE level of DFT.

- total DFT energy (no corrections) (eV/atom) = -8.792
- space-group type = P4/mmm (123)

abc: 4.0992 4.0992 4.0831
angles: 90.00 90.00 90.00
Last column: nearest neighbours and their distance in Å.
Fractional coordinates of all 5 atoms:
Ga (0.0000, 0.0000, 0.0000)  8 Mo 2.89, 4 Tc 2.90
Tc (0.5000, 0.5000, 0.0000)  2 N 2.04
Mo (0.0000, 0.5000, 0.5000)  2 N 2.05
Mo (0.5000, 0.0000, 0.5000)  2 N 2.05
N (0.5000, 0.5000, 0.5000)  2 Tc 2.04, 4 Mo 2.05


Entry 9:
Computed, not measured: GaTc2MoN after structural relaxation at the PBE level of DFT.

- total DFT energy (no corrections) (eV/atom) = -8.649
- space-group type = P4/mmm (123)

abc: 4.0685 4.0685 4.0785
angles: 90.00 90.00 90.00
Last column: nearest neighbours and their distance in Å.
Fractional coordinates of all 5 atoms:
Ga (0.0000, 0.0000, 0.0000)  4 Mo 2.88, 8 Tc 2.88
Tc (0.0000, 0.5000, 0.5000)  2 N 2.03
Tc (0.5000, 0.0000, 0.5000)  2 N 2.03
Mo (0.5000, 0.5000, 0.0000)  2 N 2.04
N (0.5000, 0.5000, 0.5000)  4 Tc 2.03, 2 Mo 2.04


Entry 10:
Computed, not measured: GaTe2MoN after structural relaxation at the PBE level of DFT.

- total DFT energy (no corrections) (eV/atom) = -4.669
- space-group type = P4/mmm (123)

abc: 5.5996 5.5996 3.5365
angles: 90.00 90.00 90.00
Last column: nearest neighbours and their distance in Å.
Fractional coordinates of all 5 atoms:
Ga (0.0000, 0.0000, 0.0000)  2 N 1.77
Te (0.0000, 0.5000, 0.0000)  2 Ga 2.80
Te (0.5000, 0.0000, 0.0000)  2 Ga 2.80
Mo (0.5000, 0.5000, 0.5000)  8 Te 3.31, 2 Mo 3.54
N (0.0000, 0.0000, 0.5000)  2 Ga 1.77


Entry 11:
Computed, not measured: GaTeMo2N after structural relaxation at the PBE level of DFT.

- total DFT energy (no corrections) (eV/atom) = -4.411
- space-group type = P4/mmm (123)

abc: 4.9480 4.9480 5.1419
angles: 90.00 90.00 90.00
Last column: nearest neighbours and their distance in Å.
Fractional coordinates of all 5 atoms:
Ga (0.0000, 0.0000, 0.0000)  2 Te 2.57
Te (0.0000, 0.0000, 0.5000)  4 Mo 2.47, 2 Ga 2.57
Mo (0.0000, 0.5000, 0.5000)  2 Te 2.47
Mo (0.5000, 0.0000, 0.5000)  2 Te 2.47
N (0.5000, 0.5000, 0.0000)  4 Ga 3.50, 8 Mo 3.57


Entry 12:
Computed, not measured: GaTeMoN2 after structural relaxation at the PBE level of DFT.

- total DFT energy (no corrections) (eV/atom) = -6.299
- space-group type = P4/mmm (123)

abc: 3.9658 3.9658 5.6910
angles: 90.00 90.00 90.00
Last column: nearest neighbours and their distance in Å.
Fractional coordinates of all 5 atoms:
Ga (0.0000, 0.0000, 0.0000)  4 Te 2.80
Te (0.5000, 0.5000, 0.0000)  4 Ga 2.80, 2 Mo 2.85
Mo (0.5000, 0.5000, 0.5000)  4 N 1.98
N (0.0000, 0.5000, 0.5000)  2 Mo 1.98
N (0.5000, 0.0000, 0.5000)  2 Mo 1.98


Entry 13:
Computed, not measured: GaTe2MoN after structural relaxation at the PBE level of DFT.

- total DFT energy (no corrections) (eV/atom) = -5.512
- space-group type = P4/mmm (123)

abc: 5.5093 5.5093 3.8067
angles: 90.00 90.00 90.00
Last column: nearest neighbours and their distance in Å.
Fractional coordinates of all 5 atoms:
Ga (0.0000, 0.0000, 0.0000)  8 Te 3.35
Te (0.0000, 0.5000, 0.5000)  2 Mo 2.75
Te (0.5000, 0.0000, 0.5000)  2 Mo 2.75
Mo (0.5000, 0.5000, 0.5000)  2 N 1.90
N (0.5000, 0.5000, 0.0000)  2 Mo 1.90


Entry 14:
Computed, not measured: GaTeMoN2 after structural relaxation at the PBE level of DFT.

- total DFT energy (no corrections) (eV/atom) = -5.190
- space-group type = P4/mmm (123)

abc: 3.9774 3.9774 5.6480
angles: 90.00 90.00 90.00
Last column: nearest neighbours and their distance in Å.
Fractional coordinates of all 5 atoms:
Ga (0.0000, 0.0000, 0.0000)  4 N 1.99
Te (0.0000, 0.0000, 0.5000)  4 Mo 2.81, 2 Ga 2.82
Mo (0.5000, 0.5000, 0.5000)  4 Te 2.81
N (0.0000, 0.5000, 0.0000)  2 Ga 1.99
N (0.5000, 0.0000, 0.0000)  2 Ga 1.99


Entry 15:
Computed, not measured: V2GaMoN after structural relaxation at the PBE level of DFT.

- total DFT energy (no corrections) (eV/atom) = -8.535
- space-group type = P4/mmm (123)

abc: 3.9392 3.9392 4.1287
angles: 90.00 90.00 90.00
Last column: nearest neighbours and their distance in Å.
Fractional coordinates of all 5 atoms:
V (0.0000, 0.5000, 0.0000)  2 N 1.97
V (0.5000, 0.0000, 0.0000)  2 N 1.97
Ga (0.0000, 0.0000, 0.5000)  4 Mo 2.79, 8 V 2.85
Mo (0.5000, 0.5000, 0.5000)  2 N 2.06
N (0.5000, 0.5000, 0.0000)  4 V 1.97, 2 Mo 2.06


Entry 16:
Computed, not measured: VGaMoN2 after structural relaxation at the PBE level of DFT.

- total DFT energy (no corrections) (eV/atom) = -6.029
- space-group type = P4/mmm (123)

abc: 3.7892 3.7892 4.7265
angles: 90.00 90.00 90.00
Last column: nearest neighbours and their distance in Å.
Fractional coordinates of all 5 atoms:
V (0.0000, 0.0000, 0.0000)  2 Ga 2.36
Ga (0.0000, 0.0000, 0.5000)  4 N 1.89
Mo (0.5000, 0.5000, 0.0000)  4 V 2.68
N (0.0000, 0.5000, 0.5000)  2 Ga 1.89
N (0.5000, 0.0000, 0.5000)  2 Ga 1.89


Entry 17:
Computed, not measured: Na3GaMo after structural relaxation at the PBE level of DFT.

- ΔE_f (eV per atom) = 1.30
- space-group type = Pm-3m (221)

abc: 5.8686 5.8686 5.8686
angles: 90.00 90.00 90.00
Last column: nearest neighbours and their distance in Å.
Fractional coordinates of all 5 atoms:
Na (0.0000, 0.0000, 0.5000)  2 Mo 2.93
Na (0.0000, 0.5000, 0.0000)  2 Mo 2.93
Na (0.5000, 0.0000, 0.0000)  2 Mo 2.93
Ga (0.5000, 0.5000, 0.5000)  12 Na 4.15
Mo (0.0000, 0.0000, 0.0000)  6 Na 2.93


Entry 18:
Computed, not measured: Na2GaMo after structural relaxation at the PBE level of DFT.

- ΔE_f (eV per atom) = 0.92
- space-group type = I-42d (122)

abc: 6.5249 6.5249 6.5249
angles: 99.60 99.60 131.81
Last column: nearest neighbours and their distance in Å.
Fractional coordinates of all 8 atoms:
Na (0.0994, 0.1250, 0.4744)  2 Na 2.70, 2 Ga 2.91
Na (0.3750, 0.9006, 0.0256)  2 Na 2.70, 2 Ga 2.91
Na (0.6506, 0.6250, 0.5256)  2 Na 2.70, 2 Ga 2.91
Na (0.8750, 0.3494, 0.9744)  2 Na 2.70, 2 Ga 2.91
Ga (0.0000, 0.0000, 0.0000)  2 Mo 2.66, 4 Na 2.91
Ga (0.7500, 0.2500, 0.5000)  2 Mo 2.66, 4 Na 2.91
Mo (0.2500, 0.7500, 0.5000)  2 Ga 2.66
Mo (0.5000, 0.5000, 0.0000)  2 Ga 2.66


Entry 19:
Computed, not measured: NaGa2Mo2 after structural relaxation at the PBE level of DFT.

- ΔE_f (eV per atom) = 1.36
- space-group type = P4/mmm (123)

abc: 4.7664 4.7664 4.6909
angles: 90.00 90.00 90.00
Last column: nearest neighbours and their distance in Å.
Fractional coordinates of all 5 atoms:
Na (0.0000, 0.0000, 0.0000)  8 Mo 3.34, 4 Ga 3.37
Ga (0.5000, 0.5000, 0.0000)  2 Ga 2.35
Ga (0.5000, 0.5000, 0.5000)  2 Ga 2.35, 4 Mo 2.38
Mo (0.0000, 0.5000, 0.5000)  2 Ga 2.38
Mo (0.5000, 0.0000, 0.5000)  2 Ga 2.38


Entry 20:
Computed, not measured: NaGa2Mo2 after structural relaxation at the PBE level of DFT.

- ΔE_f (eV per atom) = 0.11
- space-group type = P4/mbm (127)

abc: 8.0705 8.0705 2.7242
angles: 90.00 90.00 90.00
Last column: nearest neighbours and their distance in Å.
Fractional coordinates of all 10 atoms:
Na (0.0000, 0.0000, 0.0000)  2 Na 2.72
Na (0.5000, 0.5000, 0.0000)  2 Na 2.72
Ga (0.1822, 0.3178, 0.5000)  2 Ga 2.72, 6 Mo 2.73-2.79
Ga (0.3178, 0.8178, 0.5000)  2 Ga 2.72, 6 Mo 2.73-2.79
Ga (0.6822, 0.1822, 0.5000)  2 Ga 2.72, 6 Mo 2.73-2.79
Ga (0.8178, 0.6822, 0.5000)  2 Ga 2.72, 6 Mo 2.73-2.79
Mo (0.1105, 0.6105, 0.0000)  3 Mo 2.52-2.72, 6 Ga 2.73-2.79
Mo (0.3895, 0.1105, 0.0000)  3 Mo 2.52-2.72, 6 Ga 2.73-2.79
Mo (0.6105, 0.8895, 0.0000)  3 Mo 2.52-2.72, 6 Ga 2.73-2.79
Mo (0.8895, 0.3895, 0.0000)  3 Mo 2.52-2.72, 6 Ga 2.73-2.79


Entry 21:
Computed, not measured: Na3GaMo after structural relaxation at the PBE level of DFT.

- ΔE_f (eV per atom) = 1.14
- space-group type = Pm-3m (221)

abc: 5.5277 5.5277 5.5277
angles: 90.00 90.00 90.00
Last column: nearest neighbours and their distance in Å.
Fractional coordinates of all 5 atoms:
Na (0.0000, 0.0000, 0.5000)  2 Ga 2.76
Na (0.0000, 0.5000, 0.0000)  2 Ga 2.76
Na (0.5000, 0.0000, 0.0000)  2 Ga 2.76
Ga (0.0000, 0.0000, 0.0000)  6 Na 2.76
Mo (0.5000, 0.5000, 0.5000)  12 Na 3.91